Here is TlAs2P after structural relaxation from Alexandria via LeMat-Bulk. Energies are from GGA-PBE.

- ΔE to the lowest computed polymorph (meV per atom) = 410.9
- N(E_F) (states/eV per cell) = 1.53
- total DFT energy (no corrections) (eV per cell) = -14.8
- formation enthalpy at 0 K (eV per atom) = 0.57

a b c (Å): 5.8168 5.8126 2.9169
angles (deg): 79.63 81.85 117.70
Last column: nearest neighbours and their distance in Å.
Positions (direct):
P  0.0000  0.5000  0.5000  2 P 2.92, 4 As 3.01, 2 Tl 3.06
Tl  0.5000  0.5000  0.0000  2 Tl 2.92, 4 As 3.01, 2 P 3.06
As  0.0000  0.0000  0.0000  4 As 2.92-3.06, 2 Tl 3.01, 2 P 3.01
As  0.5000  0.0000  0.5000  4 As 2.92-3.06, 2 P 3.01, 2 Tl 3.01